[1]
Density functional theory data (PBEsol) for a relaxed CdPBr3 crystal.

```
5
Lattice="5.0696 0.0000 0.0000 0.0000 5.0696 0.0000 0.0000 0.0000 5.0696" Properties=species:S:1:pos:R:3 pbc="T T T"
P 0.0000 0.0000 0.0000
Br 0.0000 0.0000 2.5348
Br 0.0000 2.5348 0.0000
Br 2.5348 0.0000 0.0000
Cd 2.5348 2.5348 2.5348
```

Calculated values
SG ... No. 221
DFT total energy ... -12.68 eV per formula unit
Calculated density ... 4.882 g/cm³

[2]
Density functional theory data (PBEsol) for a relaxed LaMo2Se crystal.

```
4
Lattice="3.3323 0.0000 0.0000 0.0000 3.9423 0.0000 0.0000 0.0000 6.1039" Properties=species:S:1:pos:R:3 pbc="T T T"
Mo 0.0000 0.0000 4.9906
Mo 0.0000 0.0000 1.1133
La 1.6662 1.9712 3.0520
Se 1.6662 1.9712 0.0000
```

Calculated values
SG ... No. 47
DFT total energy ... -31.18 eV per formula unit
Calculated density ... 8.485 g/cm³

[3]
Density functional theory data (PBEsol) for a relaxed LiReAs2 crystal.

```
4
Lattice="-0.0760 -1.2448 -2.7682 -0.9864 -2.6086 1.2001 -6.5684 2.1267 -0.7760" Properties=species:S:1:pos:R:3 pbc="T T T"
Li -0.5312 -1.9267 -0.7841
Re -3.8154 -0.8634 -1.1721
As -1.8531 0.6000 -0.2189
As -4.7153 1.5267 -0.5571
```

Calculated values
SG ... No. 123
Calculated density ... 8.893 g/cm³
Energy above the lowest structure with this stoichiometry ... 0.0014 eV per atom

[4]
Density functional theory data (PBEsol) for a relaxed Tb3SOF5 crystal.

```
20
Lattice="-2.2518 2.0335 2.0102 -7.2816 -3.7037 -4.4099 3.2441 -4.0678 7.7488" Properties=species:S:1:pos:R:3 pbc="T T T"
S -3.8027 -3.8366 -0.3785
S -1.3601 -2.8865 4.6913
Tb -6.5905 -3.3965 -0.6516
Tb -1.4379 -5.6913 4.1466
Tb -0.8287 -2.7928 1.8969
Tb -4.3182 -4.0186 2.5229
Tb 1.4040 -3.4467 5.0594
Tb -3.7333 -0.9031 0.0265
O -2.1161 -4.5814 2.2641
O 0.2809 -5.2760 5.6518
F -4.1013 -6.2413 1.7196
F 0.6869 -3.1036 7.2039
F -6.2369 -4.8259 1.1903
F -5.5071 -1.4868 -1.3700
F -3.6761 -5.1513 4.3881
F -5.7506 -3.6125 -2.7873
F 1.0627 -1.9422 3.1551
F -1.0880 -0.5849 2.6678
F -3.0504 -2.1008 2.0031
F -1.4711 -1.6686 0.0400
```

Calculated values
SG ... No. 6
DFT total energy ... -72.34 eV per formula unit
Calculated density ... 7.503 g/cm³

[5]
Density functional theory data (PBEsol) for a relaxed SrLi2Tl crystal.

```
4
Lattice="-3.2430 2.8247 2.1336 0.7710 -4.4532 1.6664 4.4814 3.9567 1.5733" Properties=species:S:1:pos:R:3 pbc="T T T"
Li 0.0688 0.0333 0.0605
Li 3.5324 1.7401 3.0653
Tl -1.5235 0.5865 2.3091
Sr 1.3221 -1.0943 3.4583
```

Calculated values
SG ... No. 8
DFT total energy ... -9.31 eV per formula unit
Calculated density ... 4.582 g/cm³

[6]
Density functional theory data (PBEsol) for a relaxed CaZnS2Cl crystal.

```
5
Lattice="-3.8375 -1.1862 2.2349 1.2095 -4.4262 -0.2725 2.3991 0.3892 4.3261" Properties=species:S:1:pos:R:3 pbc="T T T"
Zn 0.0000 0.0000 0.0000
Ca -0.1145 -2.6116 3.1442
S -1.9188 -0.5931 1.1174
S 0.6047 -2.2131 -0.1363
Cl 1.1995 0.1946 2.1631
```

Calculated values
SG ... No. 123
DFT total energy ... -19.10 eV per formula unit
Calculated density ... 3.248 g/cm³

[7]
Density functional theory data (PBEsol) for a relaxed ZrGaPS2 crystal.

```
5
Lattice="-4.3795 0.0598 1.1896 -0.5770 -4.0720 -1.9196 1.0558 -2.0300 3.9887" Properties=species:S:1:pos:R:3 pbc="T T T"
Ga 0.0000 0.0000 0.0000
S -2.1898 0.0299 0.5948
S -0.2885 -2.0360 -0.9598
P 0.5279 -1.0150 1.9944
Zr -1.9504 -3.0211 1.6294
```

Calculated values
SG ... No. 123
DFT total energy ... -26.60 eV per formula unit
Calculated density ... 4.489 g/cm³

[8]
Density functional theory data (PBEsol) for a relaxed NiHgPt4 crystal.

```
6
Lattice="-2.7955 4.2480 1.0505 -4.8266 0.4574 -1.8598 -4.0624 -0.2961 3.2208" Properties=species:S:1:pos:R:3 pbc="T T T"
Hg -2.9211 1.1023 0.6029
Pt -4.8875 2.5278 2.4397
Pt -7.3059 2.7569 1.5078
Pt -5.9052 0.6285 0.9814
Pt -5.2704 2.9053 -0.1060
Ni 0.0000 0.0000 0.0000
```

Calculated values
SG ... No. 216
DFT total energy ... -32.84 eV per formula unit
Calculated density ... 17.436 g/cm³